No. 1
{
  "formula": "Sm4Mg2Hg",
  "functional": "GGA-PBE",
  "state": "optimized geometry",
  "e_tot_ev_per_atom": -3.234,
  "mass_density_g_cm3": 6.52,
  "e_form_ev_per_fu": -0.3,
  "space_group": "I4/mmm",
  "volume_a3_per_fu": 216.63,
  "lattice": [[-3.783, 3.783, 3.785], [3.783, -3.783, 3.785], [3.783, 3.783, -3.785]],
  "species": ["Sm", "Sm", "Sm", "Sm", "Mg", "Mg", "Hg"],
  "frac_coords": [[0.000, 0.000, 0.500], [0.000, 0.500, 0.000], [0.500, 0.000, 0.000], [0.500, 0.500, 0.500], [0.000, 0.500, 0.500], [0.500, 0.000, 0.500], [0.000, 0.000, 0.000]]
}


No. 2
{
  "formula": "SmMg4Hg2",
  "functional": "GGA-PBE",
  "state": "optimized geometry",
  "e_tot_ev_per_atom": -1.890,
  "mass_density_g_cm3": 6.37,
  "e_form_ev_per_fu": -1.5,
  "e_above_lowest_polymorph_ev_per_atom": 0.034,
  "space_group": "Cmmm",
  "volume_a3_per_fu": 169.10,
  "lattice": [[2.198, -8.793, 0.000], [2.198, 8.793, 0.000], [0.000, 0.000, 4.374]],
  "species": ["Sm", "Mg", "Mg", "Mg", "Mg", "Hg", "Hg"],
  "frac_coords": [[0.000, 0.000, 0.000], [0.182, 0.818, 0.500], [0.316, 0.684, 0.000], [0.684, 0.316, 0.000], [0.818, 0.182, 0.500], [0.420, 0.580, 0.500], [0.580, 0.420, 0.500]]
}